# 1
VASP calculation (PBE) on an optimized crystal structure of CeTmAgAu.

Unit cell a=3.561 b=3.561 c=7.587 alpha=90.00 beta=90.00 gamma=90.00
Space group P4mm (No. 99)
Inequivalent atoms, fractional coordinates:
Ce 0.000 0.000 0.000 (multiplicity 1)
Tm 0.000 0.000 0.512 (multiplicity 1)
Ag 0.500 0.500 0.281 (multiplicity 1)
Au 0.500 0.500 0.729 (multiplicity 1)

E above lowest polymorph = 0.000 eV per formula unit
Total magnetization = 1.16 μB per cell

# 2
VASP calculation (PBE) on an optimized crystal structure of U2CuP3Ir4.

Unit cell a=3.932 b=3.932 c=10.542 alpha=90.00 beta=90.00 gamma=90.00
Space group P-4m2 (No. 115)
Inequivalent atoms, fractional coordinates:
U 0.000 0.500 0.249 (multiplicity 2)
Cu 0.500 0.500 0.000 (multiplicity 1)
P 0.000 0.000 0.000 (multiplicity 1)
P 0.000 0.500 0.631 (multiplicity 2)
Ir 0.000 0.000 0.500 (multiplicity 1)
Ir 0.000 0.500 0.847 (multiplicity 2)
Ir 0.500 0.500 0.500 (multiplicity 1)

Raw total energy = -8.4525 eV per atom
Total magnetization = 3.19 μB per cell

# 3
VASP calculation (PBE) on an optimized crystal structure of K3DyAg2Cl9.

Unit cell a=7.4207 b=7.4207 c=9.2613 alpha=90.00 beta=90.00 gamma=120.00
Space group P-3m1 (No. 164)
Inequivalent atoms, fractional coordinates:
K 0.0000 0.0000 0.0000 (multiplicity 1)
K 0.3333 0.6667 0.7185 (multiplicity 2)
Dy 0.0000 0.0000 0.5000 (multiplicity 1)
Ag 0.3333 0.6667 0.1586 (multiplicity 2)
Cl 0.0000 0.5000 0.0000 (multiplicity 3)
Cl 0.1646 0.3292 0.3324 (multiplicity 6)

Formation energy without anion corrections = -1515 meV/atom
Total magnetization = 0.02 μB per cell

# 4
VASP calculation (PBE) on an optimized crystal structure of Tl3Fe.

Unit cell a=5.895 b=5.895 c=5.895 alpha=90.00 beta=90.00 gamma=90.00
Space group Pm-3n (No. 223)
Inequivalent atoms, fractional coordinates:
Tl 0.000 0.250 0.500 (multiplicity 6)
Fe 0.000 0.000 0.000 (multiplicity 2)

Raw total energy = -3.2748 eV per atom
Total magnetization = 5.88 μB per cell

# 5
VASP calculation (PBE) on an optimized crystal structure of Sc3RePd.

Unit cell a=4.885 b=4.885 c=4.885 alpha=90.00 beta=90.00 gamma=90.00
Space group Pm-3m (No. 221)
Inequivalent atoms, fractional coordinates:
Sc 0.000 0.000 0.500 (multiplicity 3)
Re 0.500 0.500 0.500 (multiplicity 1)
Pd 0.000 0.000 0.000 (multiplicity 1)

E above lowest polymorph = 1.707 eV per formula unit
Total magnetization = 0.99 μB per cell